Version P
Density functional theory data (GGA-PBE) for a geometry-optimized YBeTl2 structure.

Total magnetization, μB/atom: 0.062

Cell: 4.623 5.261 7.908 Å, 90.00 90.00 90.00°
Space group Cmm2 (No. 35)
Unique sites:
Y (0.000, 0.000, 0.000) (multiplicity 2)
Be (0.000, 0.500, 0.212) (multiplicity 2)
Tl (0.000, 0.000, 0.407) (multiplicity 2)
Tl (0.000, 0.500, 0.700) (multiplicity 2)

***

Version Q
Density functional theory data (GGA-PBE) for a geometry-optimized YBeTl2 structure.

Total magnetization, μB/atom: 0.000

Cell: 11.395 3.928 4.670 Å, 90.00 114.18 90.00°
Space group Cm (No. 8)
Unique sites:
Y (0.000, 0.000, 0.000) (multiplicity 2)
Be (0.268, 0.000, 0.766) (multiplicity 2)
Tl (0.088, 0.500, 0.588) (multiplicity 2)
Tl (0.294, 0.500, 0.294) (multiplicity 2)

***

Which structure wins on stability? version Q wins.

***

Version P
Density functional theory data (GGA-PBE) for a geometry-optimized YBeTl2 structure.

Total magnetization, μB/atom: 0.161

Cell: 3.491 3.491 7.449 Å, 90.00 90.00 90.00°
Space group P4/mmm (No. 123)
Unique sites:
Y (0.000, 0.000, 0.000) (multiplicity 1)
Be (0.000, 0.000, 0.500) (multiplicity 1)
Tl (0.500, 0.500, 0.292) (multiplicity 2)

***

Version Q
Density functional theory data (GGA-PBE) for a geometry-optimized YBeTl2 structure.

Total magnetization, μB/atom: 0.000

Cell: 6.227 10.916 3.600 Å, 90.00 123.91 90.00°
Space group C2/m (No. 12)
Unique sites:
Y (0.000, 0.000, 0.000) (multiplicity 2)
Be (0.000, 0.500, 0.000) (multiplicity 2)
Tl (0.250, 0.250, 0.500) (multiplicity 4)

***

Which structure wins on stability? version P wins.

***

Version P
Density functional theory data (GGA-PBE) for a geometry-optimized YBeTl2 structure.

Total magnetization, μB/atom: 0.000

Cell: 7.280 7.280 7.280 Å, 90.00 90.00 90.00°
Space group F-43m (No. 216)
Unique sites:
Y (0.000, 0.000, 0.000) (multiplicity 4)
Be (0.250, 0.250, 0.750) (multiplicity 4)
Tl (0.000, 0.000, 0.500) (multiplicity 4)
Tl (0.250, 0.250, 0.250) (multiplicity 4)

***

Version Q
Density functional theory data (GGA-PBE) for a geometry-optimized YBeTl2 structure.

Total magnetization, μB/atom: 0.000

Cell: 4.466 4.466 9.399 Å, 90.00 90.00 90.00°
Space group I4/mmm (No. 139)
Unique sites:
Y (0.000, 0.000, 0.000) (multiplicity 2)
Be (0.000, 0.000, 0.500) (multiplicity 2)
Tl (0.000, 0.500, 0.250) (multiplicity 4)

***

Version R
Density functional theory data (GGA-PBE) for a geometry-optimized YBeTl2 structure.

Total magnetization, μB/atom: 0.000

Cell: 3.665 4.402 6.219 Å, 90.00 107.04 90.00°
Space group Pm (No. 6)
Unique sites:
Y (0.000, 0.000, 0.000) (multiplicity 1)
Be (0.583, 0.500, 0.170) (multiplicity 1)
Tl (0.356, 0.500, 0.712) (multiplicity 1)
Tl (0.722, 0.000, 0.445) (multiplicity 1)

***

Version S
Density functional theory data (GGA-PBE) for a geometry-optimized YBeTl2 structure.

Total magnetization, μB/atom: 0.000

Cell: 4.501 4.501 4.508 Å, 90.00 90.00 90.00°
Space group P4/mmm (No. 123)
Unique sites:
Y (0.000, 0.000, 0.000) (multiplicity 1)
Be (0.500, 0.500, 0.000) (multiplicity 1)
Tl (0.000, 0.500, 0.500) (multiplicity 2)

***

Which structure wins on stability? version S wins.